Entry 1:
# PmGa3NiPt, optimized geometry, DFT GGA-PBE
# crystal system: orthorhombic
# ΔH_f (0 K): -539 meV/atom
# M_tot: 0.00 μB per formula unit
# total energy: -4.815 eV per atom
data_PmGa3NiPt
_cell_length_a 6.168
_cell_length_b 12.019
_cell_length_c 5.976
_cell_angle_alpha 90.00
_cell_angle_beta 90.00
_cell_angle_gamma 90.00
_symmetry_space_group_name_H-M 'C m c m'
_symmetry_Int_Tables_number 63
_symmetry_space_group_name_Hall '-C 2c 2'
loop_
_atom_site_label
_atom_site_type_symbol
_atom_site_fract_x
_atom_site_fract_y
_atom_site_fract_z
_atom_site_occupancy
Pm1 Pm 0.000 0.232 0.250 1
Ga1 Ga 0.000 0.350 0.750 1
Ga2 Ga 0.211 0.000 0.000 1
Ni1 Ni 0.000 0.455 0.250 1
Pt1 Pt 0.000 0.145 0.750 1

Entry 2:
# Sr2GaHgAu6, optimized geometry, DFT GGA-PBE
# crystal system: monoclinic
# ΔH_f (0 K): -443 meV/atom
# M_tot: 0.00 μB per formula unit
# total energy: -3.078 eV per atom
data_Sr2GaHgAu6
_cell_length_a 13.056
_cell_length_b 5.508
_cell_length_c 9.393
_cell_angle_alpha 90.00
_cell_angle_beta 132.44
_cell_angle_gamma 90.00
_symmetry_space_group_name_H-M 'C 1 2/m 1'
_symmetry_Int_Tables_number 12
loop_
_symmetry_equiv_pos_as_xyz
'x,y,z'
'-x,-y,-z'
'-x,y,-z'
'x,-y,z'
'x+1/2,y+1/2,z'
'-x+1/2,-y+1/2,-z'
'-x+1/2,y+1/2,-z'
'x+1/2,-y+1/2,z'
loop_
_atom_site_label
_atom_site_type_symbol
_atom_site_fract_x
_atom_site_fract_y
_atom_site_fract_z
_atom_site_occupancy
Sr1 Sr 0.240 0.000 0.203 1
Ga1 Ga 0.000 0.000 0.500 1
Hg1 Hg 0.000 0.500 0.000 1
Au1 Au 0.009 0.251 0.744 1
Au2 Au 0.248 0.000 0.590 1

Entry 3:
# NbSi2Cl, optimized geometry, DFT GGA-PBE
# uncorrected formation energy: 0.7673 eV/atom
# excess energy over the best structure of this formula in the dataset: 48 meV per atom
# crystal system: tetragonal
# M_tot: 0.00 μB per formula unit
# total energy: -4.923 eV per atom
data_NbSi2Cl
_cell_length_a 6.444
_cell_length_b 6.444
_cell_length_c 8.618
_cell_angle_alpha 90.00
_cell_angle_beta 90.00
_cell_angle_gamma 90.00
_symmetry_space_group_name_H-M 'I -4 2 d'
_symmetry_Int_Tables_number 122
_symmetry_space_group_name_Hall 'I -4 2bw'
loop_
_atom_site_label
_atom_site_type_symbol
_atom_site_fract_x
_atom_site_fract_y
_atom_site_fract_z
_atom_site_occupancy
Nb1 Nb 0.000 0.000 0.000 1
Si1 Si 0.243 0.250 0.125 1
Cl1 Cl 0.000 0.000 0.500 1

Entry 4:
# LaCe2NdSe4, optimized geometry, DFT GGA-PBE
# uncorrected formation energy: -1.8711 eV/atom
# crystal system: monoclinic
# M_tot: 2.00 μB per formula unit
# total energy: -6.309 eV per atom
data_LaCe2NdSe4
_cell_length_a 7.333
_cell_length_b 4.222
_cell_length_c 7.379
_cell_angle_alpha 90.00
_cell_angle_beta 109.26
_cell_angle_gamma 90.00
_symmetry_space_group_name_H-M 'P 1 2/m 1'
_symmetry_Int_Tables_number 10
loop_
_symmetry_equiv_pos_as_xyz
'x,y,z'
'-x,-y,-z'
'-x,y,-z'
'x,-y,z'
loop_
_atom_site_label
_atom_site_type_symbol
_atom_site_fract_x
_atom_site_fract_y
_atom_site_fract_z
_atom_site_occupancy
La1 La 0.000 0.000 0.000 1
Ce1 Ce 0.000 0.500 0.500 1
Ce2 Ce 0.500 0.000 0.500 1
Nd1 Nd 0.500 0.500 0.000 1
Se1 Se 0.251 0.000 0.747 1
Se2 Se 0.254 0.500 0.255 1

Entry 5:
# PuMgAlHg, optimized geometry, DFT GGA-PBE
# crystal system: cubic
# ΔH_f (0 K): -134 meV/atom
# M_tot: 5.51 μB per formula unit
# total energy: -5.126 eV per atom
data_PuMgAlHg
_cell_length_a 7.138
_cell_length_b 7.138
_cell_length_c 7.138
_cell_angle_alpha 90.00
_cell_angle_beta 90.00
_cell_angle_gamma 90.00
_symmetry_space_group_name_H-M 'F -4 3 m'
_symmetry_Int_Tables_number 216
_symmetry_space_group_name_Hall 'F -4 2 3'
loop_
_atom_site_label
_atom_site_type_symbol
_atom_site_fract_x
_atom_site_fract_y
_atom_site_fract_z
_atom_site_occupancy
Pu1 Pu 0.000 0.000 0.000 1
Mg1 Mg 0.000 0.000 0.500 1
Al1 Al 0.250 0.250 0.750 1
Hg1 Hg 0.250 0.250 0.250 1

Entry 6:
# ReAg3F, optimized geometry, DFT GGA-PBE
# uncorrected formation energy: 0.9087 eV/atom
# excess energy over the best structure of this formula in the dataset: 0 meV per atom
# crystal system: cubic
# M_tot: 4.12 μB per formula unit
# total energy: -3.666 eV per atom
data_ReAg3F
_cell_length_a 4.545
_cell_length_b 4.545
_cell_length_c 4.545
_cell_angle_alpha 90.00
_cell_angle_beta 90.00
_cell_angle_gamma 90.00
_symmetry_space_group_name_H-M 'P m -3 m'
_symmetry_Int_Tables_number 221
_symmetry_space_group_name_Hall '-P 4 2 3'
loop_
_atom_site_label
_atom_site_type_symbol
_atom_site_fract_x
_atom_site_fract_y
_atom_site_fract_z
_atom_site_occupancy
Re1 Re 0.000 0.000 0.000 1
Ag1 Ag 0.000 0.500 0.500 1
F1 F 0.500 0.500 0.500 1

- Which value of total energy does entry 2 give?
  -3.078 eV per atom